A plane-wave DFT calculation with GGA-PBE was carried out for crystalline K3Pu3CuSe8 at its relaxed geometry.

Values from the calculation:
ΔE_f (raw)   -1.14 eV per atom
Electronic total energy   -6.358 eV/atom

Lattice parameters (Å, degrees): 14.114 8.392 9.010 90.00 120.64 90.00
Space group C2/m (No. 12)
Inequivalent atoms, fractional coordinates:
K: 0.000 0.000 0.000 [2 per cell]
K: 0.250 0.250 0.000 [4 per cell]
Pu: 0.000 0.500 0.500 [2 per cell]
Pu: 0.250 0.250 0.500 [4 per cell]
Cu: 0.000 0.000 0.500 [2 per cell]
Se: 0.019 0.257 0.301 [8 per cell]
Se: 0.208 0.000 0.677 [4 per cell]
Se: 0.236 0.500 0.706 [4 per cell]

=====

A plane-wave DFT calculation with GGA-PBE was carried out for crystalline Ir2WBr at its relaxed geometry.

Values from the calculation:
ΔE_f (raw)   0.96 eV per atom
Electronic total energy   -7.125 eV/atom
Polymorph energy (0 for the lowest one)   710 meV/atom

Lattice parameters (Å, degrees): 4.116 4.116 7.645 90.00 90.00 90.00
Space group I4/mmm (No. 139)
Inequivalent atoms, fractional coordinates:
Ir: 0.000 0.500 0.250 [4 per cell]
W: 0.000 0.000 0.000 [2 per cell]
Br: 0.000 0.000 0.500 [2 per cell]

=====

A plane-wave DFT calculation with GGA-PBE was carried out for crystalline Ac2Rh at its relaxed geometry.

Values from the calculation:
Electronic total energy   -5.747 eV/atom
Calculated formation energy   -0.558 eV per atom
Polymorph energy (0 for the lowest one)   0 meV/atom

Lattice parameters (Å, degrees): 14.570 4.377 6.997 90.00 90.00 90.00
Space group Pnma (No. 62)
Inequivalent atoms, fractional coordinates:
Ac: 0.038 0.250 0.235 [4 per cell]
Ac: 0.211 0.250 0.780 [4 per cell]
Rh: 0.131 0.750 0.014 [4 per cell]

=====

A plane-wave DFT calculation with GGA-PBE was carried out for crystalline Th6BiC4 at its relaxed geometry.

Values from the calculation:
Electronic total energy   -8.108 eV/atom
Calculated formation energy   -0.353 eV per atom

Lattice parameters (Å, degrees): 3.910 12.684 20.224 90.00 90.00 90.00
Space group Cmcm (No. 63)
Inequivalent atoms, fractional coordinates:
Th: 0.000 0.000 0.000 [4 per cell]
Th: 0.000 0.130 0.250 [4 per cell]
Th: 0.000 0.276 0.577 [8 per cell]
Th: 0.000 0.460 0.144 [8 per cell]
Bi: 0.000 0.167 0.750 [4 per cell]
C: 0.000 0.084 0.124 [8 per cell]
C: 0.000 0.357 0.038 [8 per cell]

=====

Copy entry 4 word for word.
A plane-wave DFT calculation with GGA-PBE was carried out for crystalline Th6BiC4 at its relaxed geometry.

Values from the calculation:
Electronic total energy   -8.108 eV/atom
Calculated formation energy   -0.353 eV per atom

Lattice parameters (Å, degrees): 3.910 12.684 20.224 90.00 90.00 90.00
Space group Cmcm (No. 63)
Inequivalent atoms, fractional coordinates:
Th: 0.000 0.000 0.000 [4 per cell]
Th: 0.000 0.130 0.250 [4 per cell]
Th: 0.000 0.276 0.577 [8 per cell]
Th: 0.000 0.460 0.144 [8 per cell]
Bi: 0.000 0.167 0.750 [4 per cell]
C: 0.000 0.084 0.124 [8 per cell]
C: 0.000 0.357 0.038 [8 per cell]